[1]
Computed, not measured: a relaxed structure of TbPu2N4 at the PBE level of DFT.

a = 3.3878 Å, b = 5.8995 Å, c = 10.4363 Å
α = 90.00°, β = 90.00°, γ = 106.69°
Sites, in units of the cell vectors:
Tb1 0.6072 0.2143 0.7500
Tb2 0.3928 0.7857 0.2500
Pu1 0.1316 0.2632 0.4295
Pu2 0.8684 0.7368 0.9295
Pu3 0.1316 0.2632 0.0705
Pu4 0.8684 0.7368 0.5705
N1 0.7731 0.5462 0.1076
N2 0.7731 0.5462 0.3924
N3 0.2269 0.4538 0.8924
N4 0.2269 0.4538 0.6076
N5 0.9635 0.9270 0.7500
N6 0.0365 0.0730 0.2500
N7 0.5000 0.0000 0.0000
N8 0.5000 0.0000 0.5000

Results
excess energy over the best structure of this formula in the dataset: 0.000 eV per atom
size of the total moment: 7.0 μB per formula unit
final energy: -10.736 eV/atom
E_form (uncorrected): -8.554 eV per formula unit

***

[2]
Computed, not measured: a relaxed structure of Tb2PuN at the PBE level of DFT.

a = 3.1188 Å, b = 3.1188 Å, c = 8.7346 Å
α = 90.00°, β = 90.00°, γ = 90.00°
Sites, in units of the cell vectors:
N1 0.5000 0.5000 0.0000
Tb1 0.0000 0.0000 0.8365
Tb2 0.0000 0.0000 0.1635
Pu1 0.5000 0.5000 0.5000

Results
excess energy over the best structure of this formula in the dataset: 0.408 eV per atom
size of the total moment: 6.6 μB per formula unit
final energy: -8.133 eV/atom
E_form (uncorrected): -0.614 eV per formula unit

***

[3]
Computed, not measured: a relaxed structure of TbPu3N at the PBE level of DFT.

a = 4.8861 Å, b = 4.8861 Å, c = 4.8861 Å
α = 90.00°, β = 90.00°, γ = 90.00°
Sites, in units of the cell vectors:
N1 0.0000 0.0000 0.0000
Tb1 0.5000 0.5000 0.5000
Pu1 0.0000 0.5000 0.0000
Pu2 0.0000 0.0000 0.5000
Pu3 0.5000 0.0000 0.0000

Results
size of the total moment: 16.5 μB per formula unit
final energy: -11.472 eV/atom
E_form (uncorrected): -1.407 eV per formula unit

***

[4]
Computed, not measured: a relaxed structure of Tb4PuN4 at the PBE level of DFT.

a = 4.9502 Å, b = 6.0789 Å, c = 6.0784 Å
α = 80.47°, β = 65.97°, γ = 65.97°
Sites, in units of the cell vectors:
Tb1 0.6063 0.5838 0.2036
Tb2 0.3937 0.4162 0.7964
Tb3 0.1901 0.2036 0.4162
Tb4 0.8099 0.7964 0.5838
Pu1 0.0000 0.0000 0.0000
N1 0.9042 0.3904 0.8013
N2 0.0958 0.6096 0.1987
N3 0.2945 0.8014 0.6097
N4 0.7055 0.1986 0.3903

Results
excess energy over the best structure of this formula in the dataset: 0.000 eV per atom
size of the total moment: 5.3 μB per formula unit
final energy: -8.696 eV/atom
E_form (uncorrected): -12.110 eV per formula unit

***

[5]
Computed, not measured: a relaxed structure of Tb4PuN4 at the PBE level of DFT.

a = 5.6588 Å, b = 5.6588 Å, c = 6.7992 Å
α = 114.59°, β = 114.59°, γ = 90.00°
Sites, in units of the cell vectors:
Tb1 0.5000 0.0000 0.0000
Tb2 0.0000 0.5000 0.0000
Tb3 0.2786 0.2786 0.5572
Tb4 0.7214 0.7214 0.4428
Pu1 0.0000 0.0000 0.0000
N1 0.6335 0.6335 0.7501
N2 0.3665 0.8834 0.2499
N3 0.1166 0.1166 0.7501
N4 0.8834 0.3665 0.2499

Results
excess energy over the best structure of this formula in the dataset: 0.549 eV per atom
size of the total moment: 7.6 μB per formula unit
final energy: -8.147 eV/atom
E_form (uncorrected): -7.165 eV per formula unit

***

[6]
Computed, not measured: a relaxed structure of TbPu2N3 at the PBE level of DFT.

a = 3.4859 Å, b = 4.9391 Å, c = 6.0316 Å
α = 114.17°, β = 106.80°, γ = 90.00°
Sites, in units of the cell vectors:
Tb1 0.5000 0.5000 0.5000
Pu1 0.8343 0.8343 0.1686
Pu2 0.1657 0.1657 0.8314
N1 0.8270 0.3270 0.1541
N2 0.1730 0.6730 0.8459
N3 0.5000 0.0000 0.5000

Results
size of the total moment: 9.5 μB per formula unit
final energy: -11.104 eV/atom
E_form (uncorrected): -8.357 eV per formula unit

***

[7]
Computed, not measured: a relaxed structure of TbPuN2 at the PBE level of DFT.

a = 3.4771 Å, b = 3.4771 Å, c = 11.4113 Å
α = 90.00°, β = 90.00°, γ = 120.00°
Sites, in units of the cell vectors:
Tb1 0.6667 0.3333 0.2500
Tb2 0.3333 0.6667 0.7500
Pu1 0.0000 0.0000 0.5000
Pu2 0.0000 0.0000 0.0000
N1 0.3333 0.6667 0.3836
N2 0.6667 0.3333 0.8836
N3 0.6667 0.3333 0.6164
N4 0.3333 0.6667 0.1164

Results
size of the total moment: 4.8 μB per formula unit
final energy: -10.323 eV/atom
E_form (uncorrected): -5.679 eV per formula unit

***

[8]
Computed, not measured: a relaxed structure of TbPu2N4 at the PBE level of DFT.

a = 6.2274 Å, b = 6.2274 Å, c = 6.2274 Å
α = 108.33°, β = 111.79°, γ = 108.33°
Sites, in units of the cell vectors:
Tb1 0.0000 0.0000 0.0000
Tb2 0.7500 0.5000 0.2500
Pu1 0.8750 0.1228 0.4978
Pu2 0.5022 0.3772 0.6250
Pu3 0.3750 0.8772 0.7522
Pu4 0.2478 0.6228 0.1250
N1 0.1416 0.8797 0.3870
N2 0.6130 0.7547 0.4927
N3 0.0119 0.6203 0.7573
N4 0.2427 0.2547 0.8630
N5 0.6084 0.7453 0.9881
N6 0.7381 0.2453 0.8584
N7 0.5073 0.1203 0.2619
N8 0.1370 0.3797 0.3916

Results
excess energy over the best structure of this formula in the dataset: 0.106 eV per atom
size of the total moment: 7.0 μB per formula unit
final energy: -10.629 eV/atom
E_form (uncorrected): -7.810 eV per formula unit